Crystalline Rb2CuIBr3 at its relaxed geometry. Source: Alexandria via LeMat-Bulk, functional PBE-GGA.

Theoretical density (g/cm³): 4.00
Raw formation energy (meV per atom): -1022.3
Symmetry: Immm

Unit cell a=9.459 b=9.459 c=9.459 alpha=147.33 beta=146.70 gamma=47.34
Fractional positions:
Rb 0.146 0.146 0.000
Rb 0.854 0.854 0.000
Cu 0.500 0.500 0.000
I 0.000 0.500 0.500
Br 0.347 0.347 0.000
Br 0.500 0.000 0.500
Br 0.653 0.653 0.000